(1)
Compound: CaPbAu4
Source: the Alexandria database
Functional: SCAN
Structure: PBEsol geometry

Values from the calculation:
size of the total moment: 0.0 μB per formula unit
ρ: 14.019 g cm⁻³
crystal system: cubic
calculated formation energy: -10.46 kcal/mol of atoms
density of states at the Fermi level: 2.0 states/eV/f.u.

```
6
Lattice="5.5763 0.0000 0.0000 2.7882 4.8293 0.0000 2.7882 1.6098 4.5531" Properties=species:S:1:pos:R:3 pbc="T T T"
Pb 0.0000 0.0000 0.0000
Ca 8.3645 4.8293 3.4148
Au 4.1846 2.4160 1.7083
Au 5.5763 3.2195 3.9811
Au 6.9681 2.4160 1.7083
Au 5.5763 4.8266 1.7083
```

***

(2)
Compound: CaPb2Au
Source: the Alexandria database
Functional: SCAN
Structure: PBEsol geometry

Values from the calculation:
size of the total moment: 0.0 μB per formula unit
ρ: 10.405 g cm⁻³
crystal system: tetragonal
calculated formation energy: -6.30 kcal/mol of atoms
density of states at the Fermi level: 2.1 states/eV/f.u.

```
4
Lattice="-2.4110 1.6074 2.5079 -2.8537 -0.3211 -2.5377 -1.5781 -6.3989 2.5841" Properties=species:S:1:pos:R:3 pbc="T T T"
Au -2.6324 0.6432 -0.0149
Ca -3.4214 -2.5563 1.2772
Pb -1.2405 -5.0302 2.0314
Pb -0.3376 -1.3687 0.5528
```

***

(3)
Compound: CaPbAu
Source: the Alexandria database
Functional: SCAN
Structure: PBEsol geometry

Values from the calculation:
size of the total moment: 0.0 μB per formula unit
ρ: 9.942 g cm⁻³
crystal system: tetragonal
calculated formation energy: -13.73 kcal/mol of atoms
density of states at the Fermi level: 1.2 states/eV/f.u.

```
3
Lattice="-3.4881 -0.1013 -0.9337 -0.9315 -0.0842 3.4892 2.0215 5.7751 -1.1910" Properties=species:S:1:pos:R:3 pbc="T T T"
Pb -2.2657 1.5925 1.3035
Ca -0.1333 4.0216 0.0614
Au -2.3973 5.5651 1.3641
```

***

(4)
Compound: Ca2PbAu
Source: the Alexandria database
Functional: SCAN
Structure: PBEsol geometry

Values from the calculation:
size of the total moment: 0.0 μB per formula unit
ρ: 7.858 g cm⁻³
crystal system: tetragonal
calculated formation energy: -19.95 kcal/mol of atoms
density of states at the Fermi level: 2.0 states/eV/f.u.

```
4
Lattice="3.5764 0.0000 0.0000 0.0000 3.5764 0.0000 0.0000 0.0000 8.0020" Properties=species:S:1:pos:R:3 pbc="T T T"
Pb 1.7882 1.7882 2.0005
Ca 0.0000 0.0000 7.7719
Ca 0.0000 0.0000 4.2312
Au 1.7882 1.7882 6.0015
```

***

> density of states at the Fermi level of number 3 (CaPbAu)?

1.2 states/eV/f.u.

***

> Among the records above, which one has the lowest density of states at the Fermi level?

CaPbAu

***

> What is the ρ in the fourth record?

7.858 g cm⁻³

***

> What is the calculated formation energy in the second record?

-6.30 kcal/mol of atoms